No. 1
The following is a meta-GGA SCAN calculation of a PBEsol-optimized structure of K3VPCO7, from the Alexandria database.

Summary:
ΔE_f (raw)	-2.26	eV/atom
spin magnetization	6.00	μB per cell
space-group type	P2_1/m

Unit cell a=5.578 b=6.774 c=9.495 alpha=90.00 beta=90.00 gamma=90.00
Positions (direct):
K 0.250 0.009 0.199
K 0.250 0.491 0.199
K 0.250 0.750 0.569
K 0.750 0.250 0.431
K 0.750 0.509 0.801
K 0.750 0.991 0.801
V 0.250 0.250 0.841
V 0.750 0.750 0.159
P 0.249 0.750 0.915
P 0.751 0.250 0.085
C 0.250 0.250 0.576
C 0.750 0.750 0.424
O 0.020 0.750 0.006
O 0.052 0.250 0.650
O 0.249 0.250 0.441
O 0.250 0.565 0.818
O 0.250 0.935 0.818
O 0.448 0.250 0.650
O 0.476 0.750 0.008
O 0.524 0.250 0.992
O 0.552 0.750 0.350
O 0.750 0.065 0.182
O 0.750 0.435 0.182
O 0.751 0.750 0.559
O 0.948 0.750 0.350
O 0.980 0.250 0.994

---

No. 2
The following is a meta-GGA SCAN calculation of a PBEsol-optimized structure of K2VPCO7, from the Alexandria database.

Summary:
ΔE_f (raw)	-2.28	eV/atom
spin magnetization	4.00	μB per cell
space-group type	P2_1/m

Unit cell a=5.547 b=6.610 c=9.626 alpha=90.00 beta=90.87 gamma=90.00
Positions (direct):
K 0.250 0.023 0.242
K 0.250 0.477 0.242
K 0.750 0.523 0.758
K 0.750 0.977 0.758
V 0.276 0.250 0.643
V 0.724 0.750 0.357
P 0.226 0.750 0.566
P 0.774 0.250 0.434
C 0.238 0.250 0.897
C 0.762 0.750 0.103
O 0.042 0.250 0.484
O 0.055 0.250 0.808
O 0.215 0.250 0.026
O 0.271 0.558 0.655
O 0.271 0.942 0.655
O 0.397 0.750 0.440
O 0.445 0.250 0.832
O 0.555 0.750 0.168
O 0.603 0.250 0.560
O 0.729 0.058 0.345
O 0.729 0.442 0.345
O 0.785 0.750 0.974
O 0.945 0.750 0.192
O 0.958 0.750 0.516

---

No. 3
The following is a meta-GGA SCAN calculation of a PBEsol-optimized structure of KSmC2O6, from the Alexandria database.

Summary:
ΔE_f (raw)	-2.33	eV/atom
spin magnetization	0.00	μB per cell
space-group type	C2/c

Unit cell a=6.442 b=6.442 c=6.981 alpha=102.97 beta=102.97 gamma=98.45
Positions (direct):
K 0.126 0.874 0.750
K 0.874 0.126 0.250
Sm 0.405 0.595 0.250
Sm 0.595 0.405 0.750
C 0.144 0.391 0.741
C 0.391 0.144 0.241
C 0.609 0.856 0.759
C 0.856 0.609 0.259
O 0.055 0.595 0.284
O 0.206 0.248 0.617
O 0.248 0.206 0.117
O 0.297 0.529 0.891
O 0.405 0.945 0.216
O 0.471 0.703 0.609
O 0.529 0.297 0.391
O 0.595 0.055 0.784
O 0.703 0.471 0.109
O 0.752 0.794 0.883
O 0.794 0.752 0.383
O 0.945 0.405 0.716

---

No. 4
The following is a meta-GGA SCAN calculation of a PBEsol-optimized structure of KTmC2O6, from the Alexandria database.

Summary:
ΔE_f (raw)	-2.35	eV/atom
spin magnetization	0.00	μB per cell
space-group type	C2/c

Unit cell a=6.270 b=6.270 c=6.833 alpha=102.66 beta=102.66 gamma=97.77
Positions (direct):
K 0.120 0.880 0.750
K 0.880 0.120 0.250
Tm 0.410 0.590 0.250
Tm 0.590 0.410 0.750
C 0.143 0.399 0.751
C 0.399 0.143 0.251
C 0.601 0.857 0.749
C 0.857 0.601 0.249
O 0.061 0.588 0.266
O 0.209 0.258 0.620
O 0.258 0.209 0.120
O 0.302 0.538 0.901
O 0.412 0.939 0.234
O 0.462 0.698 0.599
O 0.538 0.302 0.401
O 0.588 0.061 0.766
O 0.698 0.462 0.099
O 0.742 0.791 0.880
O 0.791 0.742 0.380
O 0.939 0.412 0.734